No. 1
# Tl2Cd2Sb

An optimized crystal structure of Tl2Cd2Sb (PBEsol, Alexandria).

The structure belongs to space group P4/mbm (No. 127); the cell edges are 7.5204, 7.5204 and 4.7554 Å and the angles 90.00°, 90.00° and 90.00°. The asymmetric unit holds Tl at (0.1745, 0.3255, 0.0000), Cd at (0.1319, 0.6319, 0.5000) and Sb at (0.0000, 0.0000, 0.5000).

The formation energy (no corrections) is 0.0467 eV/atom. The calculated volume comes out at 26.9 A^3/atom.

---

No. 2
# TlCdSb2

An optimized crystal structure of TlCdSb2 (PBEsol, Alexandria).

The structure belongs to space group R-3m (No. 166, hexagonal axes); the cell edges are 3.3676, 3.3676 and 32.0150 Å and the angles 90.00°, 90.00° and 120.00°. The asymmetric unit holds Tl at (0.0000, 0.0000, 0.0000), Cd at (0.0000, 0.0000, 0.5000) and Sb at (0.0000, 0.0000, 0.2421).

The formation energy (no corrections) is 0.0878 eV/atom. The calculated volume comes out at 26.2 A^3/atom. For the energy relative to the lowest polymorph listed for this composition, the calculation gives 4 meV per atom.

---

No. 3
# TlCdSb2

An optimized crystal structure of TlCdSb2 (PBEsol, Alexandria).

The structure belongs to space group P2/m (No. 10); the cell edges are 5.5538, 3.3279 and 5.8729 Å and the angles 90.00°, 105.67° and 90.00°. The asymmetric unit holds Tl at (0.0000, 0.0000, 0.0000), Cd at (0.5000, 0.5000, 0.0000), Sb at (0.0000, 0.5000, 0.5000) and Sb at (0.5000, 0.0000, 0.5000).

The formation energy (no corrections) is 0.1395 eV/atom. The calculated volume comes out at 26.1 A^3/atom. For the energy relative to the lowest polymorph listed for this composition, the calculation gives 56 meV per atom.

---

No. 4
# TlCd2Sb

An optimized crystal structure of TlCd2Sb (PBEsol, Alexandria).

The structure belongs to space group Pmmm (No. 47); the cell edges are 4.2692, 4.5527 and 5.0849 Å and the angles 90.00°, 90.00° and 90.00°. The asymmetric unit holds Tl at (0.0000, 0.0000, 0.0000), Cd at (0.5000, 0.0000, 0.5000), Cd at (0.5000, 0.5000, 0.0000) and Sb at (0.0000, 0.5000, 0.5000).

The formation energy (no corrections) is 0.0839 eV/atom. The calculated volume comes out at 24.7 A^3/atom. For the energy relative to the lowest polymorph listed for this composition, the calculation gives 0 meV per atom.

---

No. 5
# CdSb2W

An optimized crystal structure of CdSb2W (PBEsol, Alexandria).

The structure belongs to space group Immm (No. 71); the cell edges are 3.9517, 5.0140 and 8.3197 Å and the angles 90.00°, 90.00° and 90.00°. The asymmetric unit holds Cd at (0.0000, 0.0000, 0.0000), Sb at (0.0000, 0.5000, 0.2523) and W at (0.0000, 0.0000, 0.5000).

The formation energy (no corrections) is 0.6921 eV/atom. The calculated volume comes out at 20.6 A^3/atom.

---

No. 6
# CdSbW2

An optimized crystal structure of CdSbW2 (PBEsol, Alexandria).

The structure belongs to space group Cmmm (No. 65); the cell edges are 5.7336, 8.4653 and 2.9240 Å and the angles 90.00°, 90.00° and 90.00°. The asymmetric unit holds Cd at (0.0000, 0.0000, 0.0000), Sb at (0.0000, 0.5000, 0.0000) and W at (0.2500, 0.2500, 0.5000).

The formation energy (no corrections) is 0.9608 eV/atom. The calculated volume comes out at 17.7 A^3/atom. For the energy relative to the lowest polymorph listed for this composition, the calculation gives 292 meV per atom.

---

No. 7
# CdSbW2

An optimized crystal structure of CdSbW2 (PBEsol, Alexandria).

The structure belongs to space group Cm (No. 8); the cell edges are 9.8301, 3.2324 and 4.9305 Å and the angles 90.00°, 108.89° and 90.00°. The asymmetric unit holds Cd at (0.0000, 0.0000, 0.0000), Sb at (0.2782, 0.5000, 0.3239), W at (0.0421, 0.5000, 0.5379) and W at (0.2401, 0.0000, 0.7955).

The formation energy (no corrections) is 0.6693 eV/atom. The calculated volume comes out at 18.5 A^3/atom. For the energy relative to the lowest polymorph listed for this composition, the calculation gives 0 meV per atom.

---

No. 8
# Cd2SbW

An optimized crystal structure of Cd2SbW (PBEsol, Alexandria).

The structure belongs to space group Immm (No. 71); the cell edges are 2.9137, 4.4905 and 13.4120 Å and the angles 90.00°, 90.00° and 90.00°. The asymmetric unit holds Cd at (0.0000, 0.0000, 0.1926), Sb at (0.0000, 0.5000, 0.0000) and W at (0.0000, 0.5000, 0.5000).

The formation energy (no corrections) is 0.4934 eV/atom. The calculated volume comes out at 21.9 A^3/atom.

---

No. 9
# CdSbW2

An optimized crystal structure of CdSbW2 (PBEsol, Alexandria).

The structure belongs to space group F-43m (No. 216); the cell edges are 6.6014, 6.6014 and 6.6014 Å and the angles 90.00°, 90.00° and 90.00°. The asymmetric unit holds Cd at (0.0000, 0.0000, 0.0000), Sb at (0.2500, 0.2500, 0.2500), W at (0.0000, 0.0000, 0.5000) and W at (0.2500, 0.2500, 0.7500).

The formation energy (no corrections) is 0.8498 eV/atom. The calculated volume comes out at 18.0 A^3/atom. For the energy relative to the lowest polymorph listed for this composition, the calculation gives 181 meV per atom.

---

No. 10
# CdSbW2

An optimized crystal structure of CdSbW2 (PBEsol, Alexandria).

The structure belongs to space group P4/mmm (No. 123); the cell edges are 3.2255, 3.2255 and 6.7894 Å and the angles 90.00°, 90.00° and 90.00°. The asymmetric unit holds Cd at (0.0000, 0.0000, 0.0000), Sb at (0.0000, 0.0000, 0.5000) and W at (0.5000, 0.5000, 0.2696).

The formation energy (no corrections) is 0.8674 eV/atom. The calculated volume comes out at 17.7 A^3/atom. For the energy relative to the lowest polymorph listed for this composition, the calculation gives 198 meV per atom.

---

No. 11
# Cd4SbW

An optimized crystal structure of Cd4SbW (PBEsol, Alexandria).

The structure belongs to space group F-43m (No. 216); the cell edges are 7.8294, 7.8294 and 7.8294 Å and the angles 90.00°, 90.00° and 90.00°. The asymmetric unit holds Cd at (0.1241, 0.1241, 0.1241), Sb at (0.0000, 0.0000, 0.5000) and W at (0.2500, 0.2500, 0.7500).

The formation energy (no corrections) is 0.7097 eV/atom. The calculated volume comes out at 20.0 A^3/atom.

---

No. 12
# Cd2SbW

An optimized crystal structure of Cd2SbW (PBEsol, Alexandria).

The structure belongs to space group P4mm (No. 99); the cell edges are 3.5561, 3.5561 and 6.1302 Å and the angles 90.00°, 90.00° and 90.00°. The asymmetric unit holds Cd at (0.0000, 0.0000, 0.0000), Cd at (0.5000, 0.5000, 0.2314), Sb at (0.0000, 0.0000, 0.5285) and W at (0.5000, 0.5000, 0.7332).

The formation energy (no corrections) is 0.4352 eV/atom. The calculated volume comes out at 19.4 A^3/atom.

---

No. 13
# CdSbW2

An optimized crystal structure of CdSbW2 (PBEsol, Alexandria).

The structure belongs to space group Immm (No. 71); the cell edges are 3.3018, 4.7270 and 9.1732 Å and the angles 90.00°, 90.00° and 90.00°. The asymmetric unit holds Cd at (0.0000, 0.0000, 0.0000), Sb at (0.0000, 0.0000, 0.5000) and W at (0.0000, 0.5000, 0.2398).

The formation energy (no corrections) is 0.7951 eV/atom. The calculated volume comes out at 17.9 A^3/atom. For the energy relative to the lowest polymorph listed for this composition, the calculation gives 126 meV per atom.

---

No. 14
# YCdSb2

An optimized crystal structure of YCdSb2 (PBEsol, Alexandria).

The structure belongs to space group I-4m2 (No. 119); the cell edges are 4.3088, 4.3088 and 10.6531 Å and the angles 90.00°, 90.00° and 90.00°. The asymmetric unit holds Y at (0.0000, 0.0000, 0.0000), Cd at (0.0000, 0.5000, 0.7500), Sb at (0.0000, 0.0000, 0.5000) and Sb at (0.0000, 0.5000, 0.2500).

The formation energy (no corrections) is -0.5105 eV/atom. The calculated volume comes out at 24.7 A^3/atom.